Entry 1:
The following is a PBEsol calculation of an optimized crystal structure of MnAl2Tl, from the Alexandria database.

Unit cell a=4.7412 b=4.7412 c=5.2002 alpha=101.44 beta=101.44 gamma=36.73
With the nearest neighbours (Å) after each atom.
Fractional positions:
Mn 0.0000 0.0000 0.0000  6 Al 2.62-2.81
Al 0.2660 0.2660 0.7962  3 Mn 2.62-2.81, 2 Al 2.66, 1 Tl 2.86
Al 0.7340 0.7340 0.2038  3 Mn 2.62-2.81, 2 Al 2.66, 1 Tl 2.86
Tl 0.5000 0.5000 0.5000  6 Al 2.86-2.97, 2 Tl 2.99, 4 Mn 3.00

Results
Symmetry   No. 12
DFT formation energy   261 meV/atom
ΔE to the lowest computed polymorph   0.00 eV per formula unit

Entry 2:
The following is a PBEsol calculation of an optimized crystal structure of MnAl2Tl, from the Alexandria database.

Unit cell a=4.7644 b=4.7644 c=5.2114 alpha=101.60 beta=101.60 gamma=36.98
With the nearest neighbours (Å) after each atom.
Fractional positions:
Mn 0.0000 0.0000 0.0000  5 Al 2.59-2.70
Al 0.4857 0.4857 0.4060  2 Mn 2.63, 3 Al 2.80-2.82, 1 Tl 2.85
Al 0.7343 0.7343 0.1589  3 Mn 2.59-2.70, 3 Al 2.80-2.82, 2 Tl 2.90
Tl 0.2495 0.2495 0.6913  7 Al 2.85-3.14, 3 Mn 2.91-3.03, 2 Tl 3.02

Results
Symmetry   No. 8
DFT formation energy   290 meV/atom
ΔE to the lowest computed polymorph   0.12 eV per formula unit

Entry 3:
The following is a PBEsol calculation of an optimized crystal structure of Tm6Mn4Al43, from the Alexandria database.

Unit cell a=10.7340 b=10.7340 c=17.3849 alpha=90.00 beta=90.00 gamma=120.00
With the nearest neighbours (Å) after each atom.
Fractional positions:
Tm 0.0000 0.4678 0.0946  14 Al 3.01-3.32, 1 Tm 3.36
Tm 0.0000 0.4678 0.4054  14 Al 3.01-3.32, 1 Tm 3.36
Tm 0.0000 0.5322 0.5946  14 Al 3.01-3.32, 1 Tm 3.36
Tm 0.0000 0.5322 0.9054  14 Al 3.01-3.32, 1 Tm 3.36
Tm 0.4678 0.0000 0.0946  14 Al 3.01-3.32, 1 Tm 3.36
Tm 0.4678 0.0000 0.4054  14 Al 3.01-3.32, 1 Tm 3.36
Tm 0.4678 0.4678 0.5946  14 Al 3.01-3.32, 1 Tm 3.36
Tm 0.4678 0.4678 0.9054  14 Al 3.01-3.32, 1 Tm 3.36
Tm 0.5322 0.0000 0.5946  14 Al 3.01-3.32, 1 Tm 3.36
Tm 0.5322 0.0000 0.9054  14 Al 3.01-3.32, 1 Tm 3.36
Tm 0.5322 0.5322 0.0946  14 Al 3.01-3.32, 1 Tm 3.36
Tm 0.5322 0.5322 0.4054  14 Al 3.01-3.32, 1 Tm 3.36
Mn 0.0000 0.0000 0.0000  12 Al 2.61-2.73
Mn 0.0000 0.0000 0.5000  12 Al 2.61-2.73
Mn 0.0000 0.2687 0.2500  10 Al 2.50-2.63
Mn 0.0000 0.7313 0.7500  10 Al 2.50-2.63
Mn 0.2687 0.0000 0.2500  10 Al 2.50-2.63
Mn 0.2687 0.2687 0.7500  10 Al 2.50-2.63
Mn 0.7313 0.0000 0.7500  10 Al 2.50-2.63
Mn 0.7313 0.7313 0.2500  10 Al 2.50-2.63
Al 0.0000 0.1439 0.7500  2 Mn 2.50, 6 Al 2.68-2.75
Al 0.0000 0.1543 0.1163  2 Mn 2.61-2.63, 9 Al 2.66-2.87
Al 0.0000 0.1543 0.3837  2 Mn 2.61-2.63, 9 Al 2.66-2.87
Al 0.0000 0.2495 0.5300  9 Al 2.68-2.87, 1 Mn 2.73
Al 0.0000 0.2495 0.9700  9 Al 2.68-2.87, 1 Mn 2.73
Al 0.0000 0.7505 0.0300  9 Al 2.68-2.87, 1 Mn 2.73
Al 0.0000 0.7505 0.4700  9 Al 2.68-2.87, 1 Mn 2.73
Al 0.0000 0.8457 0.6163  2 Mn 2.61-2.63, 9 Al 2.66-2.87
Al 0.0000 0.8457 0.8837  2 Mn 2.61-2.63, 9 Al 2.66-2.87
Al 0.0000 0.8561 0.2500  2 Mn 2.50, 6 Al 2.68-2.75
Al 0.1439 0.0000 0.7500  2 Mn 2.50, 6 Al 2.68-2.75
Al 0.1439 0.1439 0.2500  2 Mn 2.50, 6 Al 2.68-2.75
Al 0.1447 0.5456 0.2500  1 Mn 2.58, 7 Al 2.69-2.78
Al 0.1447 0.5991 0.7500  1 Mn 2.58, 7 Al 2.69-2.78
Al 0.1543 0.0000 0.1163  2 Mn 2.61-2.63, 9 Al 2.66-2.87
Al 0.1543 0.0000 0.3837  2 Mn 2.61-2.63, 9 Al 2.66-2.87
Al 0.1543 0.1543 0.6163  2 Mn 2.61-2.63, 9 Al 2.66-2.87
Al 0.1543 0.1543 0.8837  2 Mn 2.61-2.63, 9 Al 2.66-2.87
Al 0.1571 0.3903 0.6655  1 Mn 2.62, 7 Al 2.66-2.92
Al 0.1571 0.3903 0.8345  1 Mn 2.62, 7 Al 2.66-2.92
Al 0.1571 0.7668 0.1655  1 Mn 2.62, 7 Al 2.66-2.92
Al 0.1571 0.7668 0.3345  1 Mn 2.62, 7 Al 2.66-2.92
Al 0.2332 0.3903 0.1655  1 Mn 2.62, 7 Al 2.66-2.92
Al 0.2332 0.3903 0.3345  1 Mn 2.62, 7 Al 2.66-2.92
Al 0.2332 0.8429 0.6655  1 Mn 2.62, 7 Al 2.66-2.92
Al 0.2332 0.8429 0.8345  1 Mn 2.62, 7 Al 2.66-2.92
Al 0.2467 0.4933 0.0000  6 Al 2.68-2.79
Al 0.2467 0.4933 0.5000  6 Al 2.68-2.79
Al 0.2467 0.7533 0.0000  6 Al 2.68-2.79
Al 0.2467 0.7533 0.5000  6 Al 2.68-2.79
Al 0.2495 0.0000 0.5300  9 Al 2.68-2.87, 1 Mn 2.73
Al 0.2495 0.0000 0.9700  9 Al 2.68-2.87, 1 Mn 2.73
Al 0.2495 0.2495 0.0300  9 Al 2.68-2.87, 1 Mn 2.73
Al 0.2495 0.2495 0.4700  9 Al 2.68-2.87, 1 Mn 2.73
Al 0.3333 0.6667 0.1267  9 Al 2.69-2.78
Al 0.3333 0.6667 0.3733  9 Al 2.69-2.78
Al 0.3333 0.6667 0.6267  9 Al 2.69-2.78
Al 0.3333 0.6667 0.8733  9 Al 2.69-2.78
Al 0.3903 0.1571 0.6655  1 Mn 2.62, 7 Al 2.66-2.92
Al 0.3903 0.1571 0.8345  1 Mn 2.62, 7 Al 2.66-2.92
Al 0.3903 0.2332 0.1655  1 Mn 2.62, 7 Al 2.66-2.92
Al 0.3903 0.2332 0.3345  1 Mn 2.62, 7 Al 2.66-2.92
Al 0.4009 0.5456 0.7500  1 Mn 2.58, 7 Al 2.69-2.78
Al 0.4009 0.8553 0.2500  1 Mn 2.58, 7 Al 2.69-2.78
Al 0.4544 0.5991 0.2500  1 Mn 2.58, 7 Al 2.69-2.78
Al 0.4544 0.8553 0.7500  1 Mn 2.58, 7 Al 2.69-2.78
Al 0.4933 0.2467 0.0000  6 Al 2.68-2.79
Al 0.4933 0.2467 0.5000  6 Al 2.68-2.79
Al 0.5067 0.7533 0.0000  6 Al 2.68-2.79
Al 0.5067 0.7533 0.5000  6 Al 2.68-2.79
Al 0.5456 0.1447 0.2500  1 Mn 2.58, 7 Al 2.69-2.78
Al 0.5456 0.4009 0.7500  1 Mn 2.58, 7 Al 2.69-2.78
Al 0.5991 0.1447 0.7500  1 Mn 2.58, 7 Al 2.69-2.78
Al 0.5991 0.4544 0.2500  1 Mn 2.58, 7 Al 2.69-2.78
Al 0.6097 0.7668 0.6655  1 Mn 2.62, 7 Al 2.66-2.92
Al 0.6097 0.7668 0.8345  1 Mn 2.62, 7 Al 2.66-2.92
Al 0.6097 0.8429 0.1655  1 Mn 2.62, 7 Al 2.66-2.92
Al 0.6097 0.8429 0.3345  1 Mn 2.62, 7 Al 2.66-2.92
Al 0.6667 0.3333 0.1267  9 Al 2.69-2.78
Al 0.6667 0.3333 0.3733  9 Al 2.69-2.78
Al 0.6667 0.3333 0.6267  9 Al 2.69-2.78
Al 0.6667 0.3333 0.8733  9 Al 2.69-2.78
Al 0.7505 0.0000 0.0300  9 Al 2.68-2.87, 1 Mn 2.73
Al 0.7505 0.0000 0.4700  9 Al 2.68-2.87, 1 Mn 2.73
Al 0.7505 0.7505 0.5300  9 Al 2.68-2.87, 1 Mn 2.73
Al 0.7505 0.7505 0.9700  9 Al 2.68-2.87, 1 Mn 2.73
Al 0.7533 0.2467 0.0000  6 Al 2.68-2.79
Al 0.7533 0.2467 0.5000  6 Al 2.68-2.79
Al 0.7533 0.5067 0.0000  6 Al 2.68-2.79
Al 0.7533 0.5067 0.5000  6 Al 2.68-2.79
Al 0.7668 0.1571 0.1655  1 Mn 2.62, 7 Al 2.66-2.92
Al 0.7668 0.1571 0.3345  1 Mn 2.62, 7 Al 2.66-2.92
Al 0.7668 0.6097 0.6655  1 Mn 2.62, 7 Al 2.66-2.92
Al 0.7668 0.6097 0.8345  1 Mn 2.62, 7 Al 2.66-2.92
Al 0.8429 0.2332 0.6655  1 Mn 2.62, 7 Al 2.66-2.92
Al 0.8429 0.2332 0.8345  1 Mn 2.62, 7 Al 2.66-2.92
Al 0.8429 0.6097 0.1655  1 Mn 2.62, 7 Al 2.66-2.92
Al 0.8429 0.6097 0.3345  1 Mn 2.62, 7 Al 2.66-2.92
Al 0.8457 0.0000 0.6163  2 Mn 2.61-2.63, 9 Al 2.66-2.87
Al 0.8457 0.0000 0.8837  2 Mn 2.61-2.63, 9 Al 2.66-2.87
Al 0.8457 0.8457 0.1163  2 Mn 2.61-2.63, 9 Al 2.66-2.87
Al 0.8457 0.8457 0.3837  2 Mn 2.61-2.63, 9 Al 2.66-2.87
Al 0.8553 0.4009 0.2500  1 Mn 2.58, 7 Al 2.69-2.78
Al 0.8553 0.4544 0.7500  1 Mn 2.58, 7 Al 2.69-2.78
Al 0.8561 0.0000 0.2500  2 Mn 2.50, 6 Al 2.68-2.75
Al 0.8561 0.8561 0.7500  2 Mn 2.50, 6 Al 2.68-2.75

Results
Symmetry   No. 193
DFT formation energy   -260 meV/atom

Entry 4:
The following is a PBEsol calculation of an optimized crystal structure of MnAlW2, from the Alexandria database.

Unit cell a=4.9898 b=4.9898 c=4.9898 alpha=144.32 beta=128.87 gamma=63.91
With the nearest neighbours (Å) after each atom.
Fractional positions:
Mn 0.0000 0.0000 0.0000  6 W 2.50-2.64, 2 Al 2.56
Al 0.7569 0.2569 0.5000  2 Mn 2.56, 6 W 2.65-2.75
W 0.2342 0.7342 0.5000  2 Mn 2.50, 2 W 2.63, 4 Al 2.65
W 0.4867 0.4867 0.0000  2 W 2.63, 4 Mn 2.64, 4 Al 2.75-2.90

Results
Symmetry   No. 44
DFT formation energy   63 meV/atom

Entry 5:
The following is a PBEsol calculation of an optimized crystal structure of MnAlW2, from the Alexandria database.

Unit cell a=8.8316 b=8.8316 c=8.8316 alpha=17.99 beta=17.99 gamma=17.99
With the nearest neighbours (Å) after each atom.
Fractional positions:
Mn 0.0000 0.0000 0.0000  3 W 2.54, 3 Al 2.55, 6 Mn 2.76
Al 0.7431 0.7431 0.7431  3 Mn 2.55, 6 Al 2.76, 3 W 2.82
W 0.2576 0.2576 0.2576  3 Mn 2.54, 6 W 2.76
W 0.4992 0.4992 0.4992  9 W 2.76-2.87, 3 Al 2.82

Results
Symmetry   No. 160
DFT formation energy   258 meV/atom

Entry 6:
The following is a PBEsol calculation of an optimized crystal structure of MnAlW, from the Alexandria database.

Unit cell a=5.0271 b=5.0271 c=5.0271 alpha=145.84 beta=145.84 gamma=49.08
With the nearest neighbours (Å) after each atom.
Fractional positions:
Mn 0.0000 0.0000 0.0000  4 W 2.48, 4 Al 2.56
Al 0.3379 0.3379 0.0000  4 Mn 2.56, 5 W 2.72-2.82
W 0.6466 0.6466 0.0000  4 Mn 2.48, 4 Al 2.72

Results
Symmetry   No. 107
DFT formation energy   -127 meV/atom

Entry 7:
The following is a PBEsol calculation of an optimized crystal structure of MnAlW2, from the Alexandria database.

Unit cell a=4.9333 b=4.9333 c=4.9333 alpha=135.77 beta=135.77 gamma=64.34
With the nearest neighbours (Å) after each atom.
Fractional positions:
Mn 0.0000 0.0000 0.0000  4 Al 2.63, 8 W 2.79
Al 0.5000 0.5000 0.0000  4 Mn 2.63, 8 W 2.79
W 0.2500 0.7500 0.5000  4 W 2.63, 4 Mn 2.79, 4 Al 2.79
W 0.7500 0.2500 0.5000  4 W 2.63, 4 Mn 2.79, 4 Al 2.79

Results
Symmetry   No. 139
DFT formation energy   94 meV/atom

Entry 8:
The following is a PBEsol calculation of an optimized crystal structure of MnAlW2, from the Alexandria database.

Unit cell a=5.0186 b=5.0186 c=5.0186 alpha=144.48 beta=129.66 gamma=63.11
With the nearest neighbours (Å) after each atom.
Fractional positions:
Mn 0.0000 0.0000 0.0000  4 W 2.55, 4 Al 2.63
Al 0.5000 0.5000 0.0000  4 Mn 2.63, 4 W 2.71
W 0.2384 0.7384 0.5000  2 Mn 2.55, 4 W 2.63, 2 Al 2.71
W 0.7616 0.2616 0.5000  2 Mn 2.55, 4 W 2.63, 2 Al 2.71

Results
Symmetry   No. 71
DFT formation energy   -41 meV/atom

Entry 9:
The following is a PBEsol calculation of an optimized crystal structure of YMn3Al, from the Alexandria database.

Unit cell a=4.5066 b=4.5066 c=4.5066 alpha=90.00 beta=90.00 gamma=90.00
With the nearest neighbours (Å) after each atom.
Fractional positions:
Y 0.0000 0.0000 0.0000  12 Mn 3.19
Mn 0.0000 0.5000 0.5000  2 Al 2.25
Mn 0.5000 0.0000 0.5000  2 Al 2.25
Mn 0.5000 0.5000 0.0000  2 Al 2.25
Al 0.5000 0.5000 0.5000  6 Mn 2.25

Results
Symmetry   No. 221
DFT formation energy   762 meV/atom

Entry 10:
The following is a PBEsol calculation of an optimized crystal structure of YMnAl3, from the Alexandria database.

Unit cell a=5.3070 b=5.3070 c=5.3070 alpha=90.00 beta=90.00 gamma=90.00
With the nearest neighbours (Å) after each atom.
Fractional positions:
Y 0.0000 0.0000 0.0000  6 Al 2.65
Mn 0.5000 0.5000 0.5000  12 Al 3.75
Al 0.0000 0.0000 0.5000  2 Y 2.65
Al 0.0000 0.5000 0.0000  2 Y 2.65
Al 0.5000 0.0000 0.0000  2 Y 2.65

Results
Symmetry   No. 221
DFT formation energy   1545 meV/atom

Entry 11:
The following is a PBEsol calculation of an optimized crystal structure of MnAlZn2, from the Alexandria database.

Unit cell a=4.7632 b=4.7632 c=4.7632 alpha=135.22 beta=135.22 gamma=65.18
With the nearest neighbours (Å) after each atom.
Fractional positions:
Mn 0.0000 0.0000 0.0000  4 Al 2.57, 8 Zn 2.71
Al 0.5000 0.5000 0.0000  4 Mn 2.57, 8 Zn 2.71
Zn 0.2500 0.7500 0.5000  4 Zn 2.57, 4 Mn 2.71, 4 Al 2.71
Zn 0.7500 0.2500 0.5000  4 Zn 2.57, 4 Mn 2.71, 4 Al 2.71

Results
Symmetry   No. 139
DFT formation energy   -44 meV/atom

Entry 12:
The following is a PBEsol calculation of an optimized crystal structure of MnAlZn2, from the Alexandria database.

Unit cell a=4.4901 b=2.7124 c=4.6344 alpha=90.00 beta=108.67 gamma=90.00
With the nearest neighbours (Å) after each atom.
Fractional positions:
Mn 0.0000 0.0000 0.0000  4 Al 2.62, 6 Zn 2.66-2.68, 2 Mn 2.71
Al 0.5000 0.5000 0.0000  4 Mn 2.62, 6 Zn 2.66-2.68, 2 Al 2.71
Zn 0.0000 0.5000 0.5000  6 Zn 2.62-2.71, 2 Al 2.66, 4 Mn 2.68
Zn 0.5000 0.0000 0.5000  6 Zn 2.62-2.71, 2 Mn 2.66, 4 Al 2.68

Results
Symmetry   No. 10
DFT formation energy   -29 meV/atom

Q: Which E values were calculated for the entries above? A: -4.883, -4.854, -4.870, -10.304, -10.109, -9.347, -10.273, -10.408, -7.278, -4.227, -4.298, -4.283, in eV per atom.